1.
VASP calculation (PBE) on crystalline LiSmCdCu at its relaxed geometry.

Its formation energy is -0.170 eV/atom. The total magnetic moment is 0.00 μB/atom.

The structure belongs to space group F-43m (No. 216); the cell edges are 6.8150, 6.8150 and 6.8150 Å and the angles 90.00°, 90.00° and 90.00°. The distinct sites, in fractional coordinates, are Li at (0.0000, 0.0000, 0.0000), Sm at (0.2500, 0.2500, 0.7500), Cd at (0.2500, 0.2500, 0.2500) and Cu at (0.0000, 0.0000, 0.5000).



2.
VASP calculation (PBE) on crystalline Sr2LiCdCu at its relaxed geometry.

The excess energy over the best structure of this formula in the dataset is 0.0174 eV/atom. Its formation energy is 0.001 eV/atom. The total magnetic moment is 0.00 μB/atom.

The structure belongs to space group P4/mmm (No. 123); the cell edges are 5.9201, 5.9201 and 5.0250 Å and the angles 90.00°, 90.00° and 90.00°. The distinct sites, in fractional coordinates, are Sr at (0.0000, 0.5000, 0.0000), Li at (0.0000, 0.0000, 0.5000), Cd at (0.5000, 0.5000, 0.5000) and Cu at (0.5000, 0.5000, 0.0000).



3.
VASP calculation (PBE) on crystalline Sr2LiCdCu at its relaxed geometry.

The excess energy over the best structure of this formula in the dataset is 0.0000 eV/atom. Its formation energy is -0.017 eV/atom. The total magnetic moment is 0.00 μB/atom.

The structure belongs to space group P4/mmm (No. 123); the cell edges are 5.9130, 5.9130 and 4.7480 Å and the angles 90.00°, 90.00° and 90.00°. The distinct sites, in fractional coordinates, are Sr at (0.0000, 0.5000, 0.0000), Li at (0.0000, 0.0000, 0.5000), Cd at (0.5000, 0.5000, 0.5000) and Cu at (0.0000, 0.0000, 0.0000).